This record from the Alexandria database describes crystalline InP2Br8 at its relaxed geometry. The functional is PBE-GGA.

Lattice parameters (Å, degrees): 7.6973 7.6973 8.9129 101.96 101.96 95.42
Closest atoms and distances in Å follow each position.
Fractional coordinates of all 11 atoms:
In: 0.0000 0.0000 0.0000  2 Br 2.67
P: 0.1857 0.1857 0.6307  3 Br 2.23-2.28
P: 0.8143 0.8143 0.3693  3 Br 2.23-2.28
Br: 0.0120 0.6993 0.2311  1 P 2.28
Br: 0.2359 0.2359 0.2311  1 In 2.67
Br: 0.3007 0.9880 0.7689  1 P 2.28
Br: 0.4122 0.4122 0.7060  1 P 2.23
Br: 0.5878 0.5878 0.2940  1 P 2.23
Br: 0.6993 0.0120 0.2311  1 P 2.28
Br: 0.7641 0.7641 0.7689  1 In 2.67
Br: 0.9880 0.3007 0.7689  1 P 2.28

Properties
SG ... C2/m (12)
Raw formation energy ... -0.3389 eV/atom